# NdTmAl (GGA-PBE, relaxed)
data_NdTmAl
_chemical_formula_sum 'Nd2 Tm2 Al2'
_cell_length_a 5.3063
_cell_length_b 5.3063
_cell_length_c 6.6952
_cell_angle_alpha 90.00
_cell_angle_beta 90.00
_cell_angle_gamma 119.98
_space_group_name_H-M_alt 'P 1'
_space_group_IT_number 1
loop_
_space_group_symop_operation_xyz
'x,y,z'
loop_
_atom_site_label
_atom_site_fract_x
_atom_site_fract_y
_atom_site_fract_z
Nd1 0.0000 0.5000 0.0000
Nd2 0.0000 0.5000 0.5000
Tm1 0.6666 0.8334 0.7500
Tm2 0.3334 0.1666 0.2500
Al1 0.3332 0.1668 0.7500
Al2 0.6668 0.8332 0.2500
# M_tot (μB per cell): 0.00
# Distance to the lowest polymorph of the same formula (meV/atom): 0
# Total energy (eV for the cell shown): -27.3
# N(E_F) (states/eV/cell): 7.012
# DFT formation energy (kJ/mol of formula units): -66

---

# Nd4TmAl4 (GGA-PBE, relaxed)
data_Nd4TmAl4
_chemical_formula_sum 'Nd8 Tm2 Al8'
_cell_length_a 6.0508
_cell_length_b 8.8973
_cell_length_c 8.8973
_cell_angle_alpha 90.00
_cell_angle_beta 90.00
_cell_angle_gamma 90.00
_space_group_name_H-M_alt 'P 1'
_space_group_IT_number 1
loop_
_space_group_symop_operation_xyz
'x,y,z'
loop_
_atom_site_label
_atom_site_fract_x
_atom_site_fract_y
_atom_site_fract_z
Nd1 0.3756 0.4262 0.8271
Nd2 0.8756 0.6729 0.9262
Nd3 0.3756 0.5738 0.1729
Nd4 0.1244 0.0738 0.6729
Nd5 0.6244 0.8271 0.5738
Nd6 0.1244 0.9262 0.3271
Nd7 0.8756 0.3271 0.0738
Nd8 0.6244 0.1729 0.4262
Tm1 0.0000 0.0000 0.0000
Tm2 0.5000 0.5000 0.5000
Al1 0.6068 0.9107 0.1861
Al2 0.6068 0.0893 0.8139
Al3 0.1068 0.6861 0.5893
Al4 0.8932 0.4107 0.6861
Al5 0.8932 0.5893 0.3139
Al6 0.3932 0.1861 0.0893
Al7 0.3932 0.8139 0.9107
Al8 0.1068 0.3139 0.4107
# M_tot (μB per cell): 0.00
# Total energy (eV for the cell shown): -79.8
# N(E_F) (states/eV/cell): 15.173
# DFT formation energy (kJ/mol of formula units): -135

---

# NdTm2Al (GGA-PBE, relaxed)
data_NdTm2Al
_chemical_formula_sum 'Nd1 Tm2 Al1'
_cell_length_a 3.5511
_cell_length_b 3.5511
_cell_length_c 10.6798
_cell_angle_alpha 80.43
_cell_angle_beta 80.43
_cell_angle_gamma 60.00
_space_group_name_H-M_alt 'P 1'
_space_group_IT_number 1
loop_
_space_group_symop_operation_xyz
'x,y,z'
loop_
_atom_site_label
_atom_site_fract_x
_atom_site_fract_y
_atom_site_fract_z
Nd1 0.5004 0.5004 0.4988
Tm1 0.0713 0.0713 0.7860
Tm2 0.2620 0.2620 0.2140
Al1 0.6663 0.6663 0.0011
# M_tot (μB per cell): 0.00
# Distance to the lowest polymorph of the same formula (meV/atom): 133
# Total energy (eV for the cell shown): -17.7
# N(E_F) (states/eV/cell): 4.968
# DFT formation energy (kJ/mol of formula units): -26

---

# Nd2Tm2Al3 (GGA-PBE, relaxed)
data_Nd2Tm2Al3
_chemical_formula_sum 'Nd2 Tm2 Al3'
_cell_length_a 3.5817
_cell_length_b 3.5622
_cell_length_c 14.3744
_cell_angle_alpha 90.00
_cell_angle_beta 82.84
_cell_angle_gamma 90.00
_space_group_name_H-M_alt 'P 1'
_space_group_IT_number 1
loop_
_space_group_symop_operation_xyz
'x,y,z'
loop_
_atom_site_label
_atom_site_fract_x
_atom_site_fract_y
_atom_site_fract_z
Nd1 0.6899 0.5000 0.6202
Nd2 0.3101 0.5000 0.3798
Tm1 0.5611 0.5000 0.8778
Tm2 0.4389 0.5000 0.1222
Al1 0.8770 0.0000 0.2460
Al2 0.0000 0.0000 0.0000
Al3 0.1230 0.0000 0.7540
# M_tot (μB per cell): 0.00
# Total energy (eV for the cell shown): -31.7
# N(E_F) (states/eV/cell): 4.254
# DFT formation energy (kJ/mol of formula units): -197

---

# Nd3Tm4Al4 (GGA-PBE, relaxed)
data_Nd3Tm4Al4
_chemical_formula_sum 'Nd3 Tm4 Al4'
_cell_length_a 5.1044
_cell_length_b 7.1187
_cell_length_c 9.4060
_cell_angle_alpha 112.24
_cell_angle_beta 105.74
_cell_angle_gamma 90.00
_space_group_name_H-M_alt 'P 1'
_space_group_IT_number 1
loop_
_space_group_symop_operation_xyz
'x,y,z'
loop_
_atom_site_label
_atom_site_fract_x
_atom_site_fract_y
_atom_site_fract_z
Nd1 0.1079 0.1079 0.2159
Nd2 0.8921 0.8921 0.7841
Nd3 0.0000 0.5000 0.0000
Tm1 0.3218 0.0959 0.6435
Tm2 0.6782 0.4523 0.3565
Tm3 0.6782 0.9041 0.3565
Tm4 0.3218 0.5477 0.6435
Al1 0.1853 0.6853 0.3707
Al2 0.8147 0.3147 0.6293
Al3 0.5000 0.8103 0.0000
Al4 0.5000 0.1897 0.0000
# M_tot (μB per cell): 0.00
# Total energy (eV for the cell shown): -49.3
# N(E_F) (states/eV/cell): 9.451
# DFT formation energy (kJ/mol of formula units): -210

---

# NdTmAl2 (GGA-PBE, relaxed)
data_NdTmAl2
_chemical_formula_sum 'Nd1 Tm1 Al2'
_cell_length_a 3.6436
_cell_length_b 3.6436
_cell_length_c 7.2461
_cell_angle_alpha 90.00
_cell_angle_beta 90.00
_cell_angle_gamma 90.00
_space_group_name_H-M_alt 'P 1'
_space_group_IT_number 1
loop_
_space_group_symop_operation_xyz
'x,y,z'
loop_
_atom_site_label
_atom_site_fract_x
_atom_site_fract_y
_atom_site_fract_z
Tm1 0.5000 0.5000 0.0000
Nd1 0.5000 0.5000 0.5000
Al1 0.0000 0.0000 0.7701
Al2 0.0000 0.0000 0.2299
# M_tot (μB per cell): 0.00
# Distance to the lowest polymorph of the same formula (meV/atom): 0
# Total energy (eV for the cell shown): -18.2
# N(E_F) (states/eV/cell): 1.458
# DFT formation energy (kJ/mol of formula units): -145

---

Repeat the fifth record exactly.
# Nd3Tm4Al4 (GGA-PBE, relaxed)
data_Nd3Tm4Al4
_chemical_formula_sum 'Nd3 Tm4 Al4'
_cell_length_a 5.1044
_cell_length_b 7.1187
_cell_length_c 9.4060
_cell_angle_alpha 112.24
_cell_angle_beta 105.74
_cell_angle_gamma 90.00
_space_group_name_H-M_alt 'P 1'
_space_group_IT_number 1
loop_
_space_group_symop_operation_xyz
'x,y,z'
loop_
_atom_site_label
_atom_site_fract_x
_atom_site_fract_y
_atom_site_fract_z
Nd1 0.1079 0.1079 0.2159
Nd2 0.8921 0.8921 0.7841
Nd3 0.0000 0.5000 0.0000
Tm1 0.3218 0.0959 0.6435
Tm2 0.6782 0.4523 0.3565
Tm3 0.6782 0.9041 0.3565
Tm4 0.3218 0.5477 0.6435
Al1 0.1853 0.6853 0.3707
Al2 0.8147 0.3147 0.6293
Al3 0.5000 0.8103 0.0000
Al4 0.5000 0.1897 0.0000
# M_tot (μB per cell): 0.00
# Total energy (eV for the cell shown): -49.3
# N(E_F) (states/eV/cell): 9.451
# DFT formation energy (kJ/mol of formula units): -210

---

Among the records above, which one has the highest N(E_F)? Nd4TmAl4